# 1
A geometry-optimized Ta5Co4 structure, computed with PBE.

a b c (Å): 7.8054 7.8054 5.1119
angles (deg): 90.00 90.00 60.00
Positions (direct):
1 Co 0.5884 0.0000 0.7500
2 Co 0.4116 0.5884 0.7500
3 Co 0.4116 0.0000 0.2500
4 Co 0.0000 0.5884 0.2500
5 Co 0.0000 0.4116 0.7500
6 Co 0.0000 0.0000 0.0000
7 Co 0.0000 0.0000 0.5000
8 Co 0.5884 0.4116 0.2500
9 Ta 0.6667 0.6667 0.5000
10 Ta 0.0000 0.2731 0.2500
11 Ta 0.3333 0.3333 0.0000
12 Ta 0.7269 0.0000 0.2500
13 Ta 0.2731 0.0000 0.7500
14 Ta 0.2731 0.7269 0.2500
15 Ta 0.0000 0.7269 0.7500
16 Ta 0.7269 0.2731 0.7500
17 Ta 0.3333 0.3333 0.5000
18 Ta 0.6667 0.6667 0.0000

Output
Offset from the most stable computed form = 0.000 eV per formula unit
Total moment = 0.00 μB per formula unit
Calculated formation energy = -0.07 eV/atom

# 2
A geometry-optimized Ta3Co2 structure, computed with PBE.

a b c (Å): 4.2070 4.2070 5.2884
angles (deg): 90.00 90.00 120.00
Last column: magnetic moment on the atom in μB.
Positions (direct):
1 Co 0.3333 0.6667 0.8470  0.78
2 Co 0.6667 0.3333 0.1530  0.78
3 Ta 0.6667 0.3333 0.6486  0.17
4 Ta 0.0000 0.0000 0.0000  0.01
5 Ta 0.3333 0.6667 0.3514  0.17

Output
Offset from the most stable computed form = 0.430 eV per formula unit
Total moment = 1.99 μB per formula unit
Calculated formation energy = 0.11 eV/atom

# 3
A geometry-optimized TaCo3 structure, computed with PBE.

a b c (Å): 3.6362 3.6370 3.6369
angles (deg): 90.00 90.00 90.00
Positions (direct):
1 Ta 0.5000 0.0000 0.5833
2 Co 0.0000 0.5000 0.5834
3 Co 0.5000 0.5000 0.0833
4 Co 0.0000 0.0000 0.0833

Output
Total moment = 0.00 μB per formula unit
Calculated formation energy = -0.23 eV/atom

We obtain total energy values of -88.32; -49.21; -34.10 eV/f.u. for the records listed above, in that order.